First-principles (SCAN) data for a crystal of ScSi2Ag relaxed with PBEsol, as listed in Alexandria.

Unit cell a=3.7884 b=3.8689 c=8.7953 alpha=90.00 beta=90.00 gamma=90.00
Fractional positions:
Sc (0.0000, 0.0000, 0.0000)
Sc (0.5000, 0.5000, 0.5000)
Si (0.0000, 0.0000, 0.4880)
Si (0.0000, 0.5000, 0.7499)
Si (0.5000, 0.0000, 0.2499)
Si (0.5000, 0.5000, 0.9880)
Ag (0.0000, 0.5000, 0.2473)
Ag (0.5000, 0.0000, 0.7473)

As for the crystal system: orthorhombic. The value obtained for the electronic total energy is -16.5841 eV per atom. As for the space group: Imm2 (44). As for the total magnetization: 0.00 μB/f.u. As for the theoretical density: 5.384 g/cm3. Its formation energy (no corrections) is -0.70 eV/f.u.